First-principles (GGA-PBE) data for Rb2MnBrCl5 after structural relaxation, as listed in Alexandria.

POSCAR file:
```
Rb2MnBrCl5
1.0
-3.7795 5.9663 -1.5002
2.6195 -4.0120 -5.4013
-3.3730 -5.7555 2.7620
Rb Cl Mn Br
2 5 1 1
direct
0.5000 0.7512 0.2512 Rb
0.5000 0.2512 0.7512 Rb
0.4461 0.2242 0.2242 Cl
0.5539 0.7782 0.7782 Cl
0.0000 0.2242 0.7782 Cl
0.0000 0.2299 0.2299 Cl
0.0000 0.7782 0.2242 Cl
0.0000 0.0034 0.0034 Mn
0.0000 0.7595 0.7595 Br
```

- energy relative to the elements, uncorrected (meV/atom) = -1377
- crystal system = tetragonal